(1)
# RbNaLa2I8

Crystalline RbNaLa2I8 at its relaxed geometry (PBE-GGA, Alexandria via LeMat-Bulk).

## Properties
Its total energy is -41.6 eV/f.u. As for the formation energy (no corrections): -1.42 eV per atom. For the total magnetic moment, the calculation gives 0.00 μB per formula unit.

The structure in extended XYZ format:
```
12
Lattice="8.3088 0.0000 0.0000 -4.1544 7.1956 0.0000 0.0000 0.0000 9.4208" Properties=species:S:1:pos:R:3 pbc="T T T"
I 5.1295 4.5580 7.9037
La 4.1544 2.3985 0.8777
I 2.3577 5.0323 1.5171
I 1.7967 2.1633 7.9037
Rb 0.0000 0.0000 4.7104
La 0.0000 4.7971 8.5431
Na 0.0000 0.0000 0.0000
I -0.9751 2.6376 1.5171
I 4.1544 2.3985 3.9427
I 5.5370 0.4743 7.9037
I 0.0000 4.7971 5.4781
I -1.3826 6.7213 1.5171
```


(2)
# MnNbTc2

Crystalline MnNbTc2 at its relaxed geometry (PBE-GGA, Alexandria via LeMat-Bulk).

## Properties
The energy of formation from the pure elements comes out at 377 meV per atom. Its total energy is -38.5 eV/f.u. For the total magnetic moment, the calculation gives 0.00 μB per formula unit.

The structure in extended XYZ format:
```
4
Lattice="4.6562 -1.8022 -2.9619 -1.5411 4.7490 2.9619 -3.2227 0.2869 4.8200" Properties=species:S:1:pos:R:3 pbc="T T T"
Mn 0.0000 0.0000 0.0000
Tc -3.7508 3.9650 6.1271
Tc -1.0130 1.0709 1.6548
Nb -2.3819 2.5179 3.8910
```


(3)
# Pu8Pt5Rh

Crystalline Pu8Pt5Rh at its relaxed geometry (PBE-GGA, Alexandria via LeMat-Bulk).

## Properties
The energy of formation from the pure elements comes out at -641 meV per atom. Its total energy is -161.2 eV/f.u. For the total magnetic moment, the calculation gives 44.05 μB per formula unit.

The structure in extended XYZ format:
```
14
Lattice="7.5108 0.0071 -0.0121 -2.5347 7.0702 0.0121 -2.4414 -3.5715 6.1398" Properties=species:S:1:pos:R:3 pbc="T T T"
Pt 2.4869 0.8811 0.0189
Rh -1.2207 0.8583 4.6079
Pu 5.3412 -1.8057 4.4742
Pu 1.5156 3.4705 1.4105
Pt 2.5347 -1.7822 3.0638
Pt 6.2440 2.1943 0.7445
Pu -0.9717 5.2123 0.0900
Pu 4.2298 0.4378 2.3073
Pu -2.2231 3.4393 3.1942
Pu 0.4424 0.4478 2.3462
Pu 1.5473 -0.3360 5.3676
Pt 2.5224 2.2179 3.8371
Pu 0.2576 3.1572 5.3692
Pt 3.7684 5.2967 1.5272
```